An optimized crystal structure of Hg2HRhAu. Source: Alexandria, functional PBE.

abc: 4.782 4.782 3.439
angles: 90.00 90.00 90.00
Atoms (fractional coordinates):
Hg  0.000  0.500  0.000
Hg  0.500  0.000  0.000
H  0.000  0.000  0.000
Rh  0.000  0.000  0.500
Au  0.500  0.500  0.500

**Calculated volume**: 15.7 A^3/atom
**Total moment**: 0.00 μB/f.u.
**VASP energy**: -0.1006 Ha/atom